Run one
The following is a DFT calculation (PBE-GGA) of an optimized crystal structure of As3Se.

Calculated values
Its size of the total moment is 0.00 μB/atom. As for the volume: 84.3 Å³ per cell.

```
As3Se
1.0
1.925 1.111 6.568
-1.925 1.111 6.568
0.000 -2.223 6.568
As Se
3 1
Cartesian
0.000 0.000 0.000 As
0.000 0.000 5.008 As
0.000 0.000 14.695 As
0.000 0.000 9.852 Se
```

---

Run two
The following is a DFT calculation (PBE-GGA) of an optimized crystal structure of As3Se.

Calculated values
Its size of the total moment is 0.00 μB/atom. As for the volume: 178.1 Å³ per cell.

```
As3Se
1.0
4.018 -3.970 0.000
4.018 3.970 0.000
0.000 0.000 5.583
As Se
6 2
Cartesian
1.855 0.105 1.396 As
4.018 2.186 4.187 As
1.855 -0.105 4.187 As
6.181 0.105 1.396 As
4.018 -2.186 1.396 As
6.181 -0.105 4.187 As
4.018 1.840 1.396 Se
4.018 -1.840 4.187 Se
```

---

Run three
The following is a DFT calculation (PBE-GGA) of an optimized crystal structure of As3Se.

Calculated values
Its size of the total moment is 0.00 μB/atom. As for the volume: 133.4 Å³ per cell.

```
As3Se
1.0
5.109 0.000 0.000
0.000 5.109 0.000
0.000 0.000 5.109
As Se
3 1
Cartesian
0.000 0.000 2.554 As
0.000 2.554 0.000 As
2.554 0.000 0.000 As
0.000 0.000 0.000 Se
```

---

Run four
The following is a DFT calculation (PBE-GGA) of an optimized crystal structure of As3Se.

Calculated values
Its size of the total moment is 0.00 μB/atom. As for the volume: 201.3 Å³ per cell.

```
As3Se
1.0
-1.830 1.830 15.032
1.830 -1.830 15.032
1.830 1.830 -15.032
As Se
6 2
Cartesian
1.830 0.000 0.000 As
0.000 0.000 4.960 As
1.830 0.000 7.516 As
0.000 1.830 0.000 As
0.000 1.830 7.516 As
0.000 0.000 25.103 As
0.000 0.000 10.991 Se
0.000 0.000 19.072 Se
```

---

Stability check: which of them is most stable? run two.

---

Run one
The following is a DFT calculation (PBE-GGA) of an optimized crystal structure of As3Se.

Calculated values
Its size of the total moment is 0.00 μB/atom. As for the volume: 85.9 Å³ per cell.

```
As3Se
1.0
4.693 0.000 0.000
0.000 3.910 0.000
-1.634 0.000 4.680
As Se
3 1
Cartesian
0.000 0.000 0.000 As
-0.054 1.955 3.657 As
3.114 1.955 1.023 As
1.530 0.000 2.340 Se
```

---

Run two
The following is a DFT calculation (PBE-GGA) of an optimized crystal structure of As3Se.

Calculated values
Its size of the total moment is 0.00 μB/atom. As for the volume: 84.8 Å³ per cell.

```
As3Se
1.0
3.917 2.261 1.595
-3.917 2.261 1.595
0.000 -4.523 1.595
As Se
3 1
Cartesian
-1.958 -1.131 1.595 As
-1.958 1.131 3.190 As
0.000 2.261 1.595 As
0.000 0.000 0.000 Se
```

---

Stability check: which of them is most stable? run one.

---

Run one
The following is a DFT calculation (PBE-GGA) of an optimized crystal structure of AsSe5.

Calculated values
Its size of the total moment is 0.00 μB/atom. As for the volume: 132.7 Å³ per cell.

```
AsSe5
1.0
6.330 0.000 0.000
-3.165 5.482 0.000
0.000 0.000 3.825
As Se
1 5
Cartesian
0.000 0.000 0.000 As
-2.151 3.725 1.912 Se
1.014 1.757 1.912 Se
0.000 3.654 0.000 Se
3.165 1.827 0.000 Se
4.301 0.000 1.912 Se
```

---

Run two
The following is a DFT calculation (PBE-GGA) of an optimized crystal structure of AsSe5.

Calculated values
Its size of the total moment is 0.00 μB/atom. As for the volume: 181.5 Å³ per cell.

```
AsSe5
1.0
8.716 0.000 0.000
0.000 1.846 5.638
0.000 -1.846 5.638
As Se
1 5
Cartesian
0.000 0.000 0.000 As
0.000 0.000 3.863 Se
0.000 0.000 7.415 Se
4.358 0.000 2.081 Se
4.358 0.000 5.838 Se
4.358 0.000 9.595 Se
```

---

Run three
The following is a DFT calculation (PBE-GGA) of an optimized crystal structure of AsSe5.

Calculated values
Its size of the total moment is 0.43 μB/atom. As for the volume: 193.9 Å³ per cell.

```
AsSe5
1.0
5.133 0.000 0.000
-2.566 4.445 0.000
0.000 0.000 8.498
As Se
1 5
Cartesian
0.000 0.000 0.000 As
-1.283 2.223 4.249 Se
0.000 2.963 0.000 Se
2.566 0.000 4.249 Se
1.283 2.223 4.249 Se
2.566 1.482 0.000 Se
```

---

Run four
The following is a DFT calculation (PBE-GGA) of an optimized crystal structure of AsSe5.

Calculated values
Its size of the total moment is 0.00 μB/atom. As for the volume: 162.1 Å³ per cell.

```
AsSe5
1.0
6.475 -1.781 0.000
6.475 1.781 0.000
-4.534 0.000 7.027
As Se
1 5
Cartesian
0.000 0.000 0.000 As
-2.065 0.000 6.515 Se
1.399 0.000 5.377 Se
4.480 0.000 2.907 Se
6.748 0.000 2.376 Se
9.866 0.000 1.187 Se
```

---

Stability check: which of them is most stable? run four.